## Tb4NdSm4 (GGA-PBE)

Data for crystalline Tb4NdSm4 at its relaxed geometry.

It has space group I4/mmm (No. 139), with a = 10.814 Å, b = 10.814 Å, c = 5.089 Å, α = 90.00°, β = 90.00° and γ = 90.00°. The distinct sites, in fractional coordinates, are Tb at (0.167, 0.167, 0.000), Nd at (0.000, 0.000, 0.500) and Sm at (0.000, 0.333, 0.500).

For the energy relative to the elements, the calculation gives 0.015 eV/atom.